one.
Here is a relaxed Pr2AlSn2 crystal from Alexandria. Energies are from PBE.

Spin magnetization ... 0.0 μB per cell
Calculated volume ... 294.3 Å³/cell
Space-group type ... Cmc2_1
Crystal system ... orthorhombic

a b c (Å): 4.6583 7.1081 9.1869
angles (deg): 90.00 104.69 90.00
Atoms (fractional coordinates):
Pr 0.9859 0.7311 0.9719
Pr 0.7937 0.4277 0.5874
Pr 0.2063 0.9277 0.4126
Pr 0.0141 0.2311 0.0281
Al 0.4032 0.0620 0.8065
Al 0.5968 0.5620 0.1935
Sn 0.4188 0.4540 0.8376
Sn 0.8297 0.9596 0.6594
Sn 0.1703 0.4596 0.3406
Sn 0.5812 0.9540 0.1624

two.
Here is a relaxed Pr2AlSn2 crystal from Alexandria. Energies are from PBE.

Spin magnetization ... 0.0 μB per cell
Calculated volume ... 275.3 Å³/cell
Space-group type ... P-1
Crystal system ... triclinic

a b c (Å): 4.5560 6.3239 10.5490
angles (deg): 91.17 77.49 68.97
Atoms (fractional coordinates):
Pr 0.3337 0.6599 0.6731
Pr 0.0727 0.7413 0.1117
Pr 0.6663 0.3401 0.3269
Pr 0.9273 0.2587 0.8883
Al 0.3849 0.9081 0.3214
Al 0.6151 0.0919 0.6786
Sn 0.9077 0.7440 0.4394
Sn 0.3518 0.1874 0.1089
Sn 0.0923 0.2560 0.5606
Sn 0.6482 0.8126 0.8911

The energy of each structure relative to the most stable one, in meV/atom, is as follows: one 114; two 0.

one.
Here is a relaxed SrPr2Al crystal from Alexandria. Energies are from PBE.

Spin magnetization ... 0.0 μB per cell
Calculated volume ... 129.2 Å³/cell
Space-group type ... P4/mmm
Crystal system ... tetragonal

a b c (Å): 4.9651 5.1002 5.1002
angles (deg): 90.00 90.00 90.00
Atoms (fractional coordinates):
Pr 0.0000 0.0000 0.5000
Pr 0.0000 0.5000 0.0000
Sr 0.5000 0.0000 0.0000
Al 0.5000 0.5000 0.5000

two.
Here is a relaxed SrPr2Al crystal from Alexandria. Energies are from PBE.

Spin magnetization ... 0.0 μB per cell
Calculated volume ... 141.7 Å³/cell
Space-group type ... P4/mmm
Crystal system ... tetragonal

a b c (Å): 3.8095 3.8095 9.7668
angles (deg): 90.00 90.00 90.00
Atoms (fractional coordinates):
Pr 0.0000 0.0000 0.8173
Pr 0.0000 0.0000 0.1827
Sr 0.5000 0.5000 0.5000
Al 0.5000 0.5000 0.0000

three.
Here is a relaxed SrPr2Al crystal from Alexandria. Energies are from PBE.

Spin magnetization ... 0.0 μB per cell
Calculated volume ... 142.4 Å³/cell
Space-group type ... R-3m
Crystal system ... trigonal

a b c (Å): 5.2933 5.2933 6.6152
angles (deg): 66.42 66.42 60.00
Atoms (fractional coordinates):
Pr 0.2765 0.2765 0.1706
Pr 0.7235 0.7235 0.8294
Sr 0.5000 0.5000 0.5000
Al 0.0000 0.0000 0.0000

The energy of each structure relative to the most stable one, in meV/atom, is as follows: one 72; two 0; three 173.

one.
Here is a relaxed TbPr2Al crystal from Alexandria. Energies are from PBE.

Spin magnetization ... 0.0 μB per cell
Calculated volume ... 117.6 Å³/cell
Space-group type ... Fm-3m
Crystal system ... cubic

a b c (Å): 5.4992 5.4992 5.4992
angles (deg): 60.00 60.00 60.00
Atoms (fractional coordinates):
Pr 0.2500 0.2500 0.2500
Pr 0.7500 0.7500 0.7500
Tb 0.0000 0.0000 0.0000
Al 0.5000 0.5000 0.5000

two.
Here is a relaxed TbPr2Al crystal from Alexandria. Energies are from PBE.

Spin magnetization ... 0.0 μB per cell
Calculated volume ... 234.3 Å³/cell
Space-group type ... Amm2
Crystal system ... orthorhombic

a b c (Å): 5.3845 7.0982 7.0982
angles (deg): 120.27 90.00 90.00
Atoms (fractional coordinates):
Tb 0.5000 0.6451 0.8208
Tb 0.5000 0.1792 0.3549
Pr 0.5000 0.1773 0.8227
Pr 0.0000 0.3556 0.1810
Pr 0.0000 0.8190 0.6444
Pr 0.0000 0.8213 0.1787
Al 0.5000 0.6651 0.3349
Al 0.0000 0.3376 0.6624

three.
Here is a relaxed TbPr2Al crystal from Alexandria. Energies are from PBE.

Spin magnetization ... 0.0 μB per cell
Calculated volume ... 116.9 Å³/cell
Space-group type ... P4/mmm
Crystal system ... tetragonal

a b c (Å): 4.9013 4.8832 4.8832
angles (deg): 90.00 90.00 90.00
Atoms (fractional coordinates):
Pr 0.0000 0.0000 0.5000
Pr 0.0000 0.5000 0.0000
Tb 0.5000 0.5000 0.5000
Al 0.5000 0.0000 0.0000

The energy of each structure relative to the most stable one, in meV/atom, is as follows: one 123; two 0; three 12.

one.
Here is a relaxed TbPr2Al crystal from Alexandria. Energies are from PBE.

Spin magnetization ... 0.5 μB per cell
Calculated volume ... 127.5 Å³/cell
Space-group type ... R3m
Crystal system ... trigonal

a b c (Å): 3.7010 3.7010 10.9578
angles (deg): 80.28 80.28 60.00
Last column: magnetic moment on the atom in μB.
Atoms (fractional coordinates):
Tb 0.5001 0.5001 0.4996  0.17
Pr 0.0731 0.0731 0.7807  0.05
Pr 0.2604 0.2604 0.2189  0.03
Al 0.6664 0.6664 0.0008  0.00

two.
Here is a relaxed TbPr2Al crystal from Alexandria. Energies are from PBE.

Spin magnetization ... 0.0 μB per cell
Calculated volume ... 121.6 Å³/cell
Space-group type ... P4/mmm
Crystal system ... tetragonal

a b c (Å): 3.6040 3.6040 9.3659
angles (deg): 90.00 90.00 90.00
Atoms (fractional coordinates):
Pr 0.0000 0.0000 0.7841
Pr 0.0000 0.0000 0.2159
Tb 0.5000 0.5000 0.5000
Al 0.5000 0.5000 0.0000

The energy of each structure relative to the most stable one, in meV/atom, is as follows: one 125; two 0.